A plane-wave DFT calculation with PBE-GGA was carried out for CuRe2Ni after structural relaxation.

Properties
ρ (g/cm³): 15.48
SG: No. 47

abc: 3.628 3.718 3.933
angles: 90.00 90.00 90.00
Sites, in units of the cell vectors:
Cu1 0.000 0.000 0.000
Re1 0.000 0.500 0.500
Re2 0.500 0.000 0.500
Ni1 0.500 0.500 0.000


A plane-wave DFT calculation with PBE-GGA was carried out for Cu2ReNi after structural relaxation.

Properties
ρ (g/cm³): 12.25
SG: No. 44

abc: 2.634 4.431 8.638
angles: 90.00 90.00 90.00
Sites, in units of the cell vectors:
Cu1 0.000 0.000 0.000
Cu2 0.000 0.500 0.255
Cu3 0.500 0.000 0.755
Cu4 0.500 0.500 0.500
Re1 0.000 0.000 0.488
Re2 0.500 0.500 0.988
Ni1 0.000 0.500 0.741
Ni2 0.500 0.000 0.241


A plane-wave DFT calculation with PBE-GGA was carried out for CuRe2Ni after structural relaxation.

Properties
ρ (g/cm³): 15.35
SG: No. 8

abc: 8.909 2.585 4.691
angles: 90.00 97.94 90.00
Sites, in units of the cell vectors:
Cu1 0.000 0.000 0.000
Cu2 0.500 0.500 0.000
Re1 0.011 0.500 0.512
Re2 0.251 0.500 0.267
Re3 0.511 0.000 0.512
Re4 0.751 0.000 0.267
Ni1 0.250 0.000 0.777
Ni2 0.750 0.500 0.777


Number 1: energy above the lowest structure with this stoichiometry 108.1 meV/atom, final energy -8.46 eV/atom, energy of formation from the pure elements 0.231 eV/atom. Number 2: energy above the lowest structure with this stoichiometry 231.8 meV/atom, final energy -6.30 eV/atom, energy of formation from the pure elements 0.310 eV/atom. Number 3: energy above the lowest structure with this stoichiometry 45.0 meV/atom, final energy -8.53 eV/atom, energy of formation from the pure elements 0.168 eV/atom.